# 1
# CsNpSnI6, relaxed, DFT PBE-GGA
# Total energy (eV per cell): -69.3
# Calculated volume (A^3/atom): 59.25
# ρ (g cm⁻³): 3.9
data_CsNpSnI6
_cell_length_a 11.5371
_cell_length_b 11.2378
_cell_length_c 11.5118
_cell_angle_alpha 119.22
_cell_angle_beta 120.07
_cell_angle_gamma 90.00
_space_group_name_H-M_alt 'P 1'
_space_group_IT_number 1
loop_
_space_group_symop_operation_xyz
'x,y,z'
loop_
_atom_site_label
_atom_site_fract_x
_atom_site_fract_y
_atom_site_fract_z
I1 0.5825 0.9211 0.7485
I2 0.4175 0.0789 0.2515
I3 0.4175 0.6726 0.2515
I4 0.8231 0.0731 0.6463
I5 0.8340 0.6726 0.2515
I6 0.8340 0.0789 0.2515
I7 0.1769 0.9269 0.3537
Sn1 0.5000 0.5000 0.0000
I8 0.1660 0.3274 0.7485
I9 0.5869 0.3369 0.1739
Cs1 0.8201 0.5701 0.6401
Cs2 0.1799 0.4299 0.3599
I10 0.4131 0.6631 0.8261
Np1 0.5000 0.0000 0.5000
Np2 0.0000 0.0000 0.5000
I11 0.1660 0.9211 0.7485
I12 0.5825 0.3274 0.7485
Sn2 0.5000 0.0000 0.0000



# 2
# Nd3AlGa3, relaxed, DFT PBE-GGA
# Total energy (eV per cell): -62.5
# Energy of formation from the pure elements (kJ/mol of atoms): -56.7
# Calculated volume (A^3/atom): 24.64
# ρ (g cm⁻³): 6.4
data_Nd3AlGa3
_cell_length_a 4.4575
_cell_length_b 6.0795
_cell_length_c 13.8741
_cell_angle_alpha 84.29
_cell_angle_beta 80.76
_cell_angle_gamma 68.49
_space_group_name_H-M_alt 'P 1'
_space_group_IT_number 1
loop_
_space_group_symop_operation_xyz
'x,y,z'
loop_
_atom_site_label
_atom_site_fract_x
_atom_site_fract_y
_atom_site_fract_z
Nd1 0.3928 0.2901 0.9244
Ga1 0.8941 0.1358 0.0759
Nd2 0.5198 0.3393 0.6210
Nd3 0.4802 0.6607 0.3790
Al1 0.7668 0.0719 0.3945
Ga2 0.8631 0.7298 0.5441
Ga3 0.0307 0.1682 0.7703
Ga4 0.1059 0.8642 0.9241
Al2 0.2332 0.9281 0.6055
Ga5 0.1369 0.2702 0.4559
Nd4 0.7407 0.7434 0.7751
Nd5 0.2593 0.2566 0.2249
Nd6 0.6072 0.7099 0.0756
Ga6 0.9693 0.8318 0.2297



# 3
# TiHgAsO5, relaxed, DFT PBE-GGA
# Total energy (eV per cell): -100.2
# Calculated volume (A^3/atom): 13.57
# ρ (g cm⁻³): 6.2
data_TiHgAsO5
_cell_length_a 5.7996
_cell_length_b 5.7996
_cell_length_c 7.3724
_cell_angle_alpha 105.08
_cell_angle_beta 105.08
_cell_angle_gamma 104.60
_space_group_name_H-M_alt 'P 1'
_space_group_IT_number 1
loop_
_space_group_symop_operation_xyz
'x,y,z'
loop_
_atom_site_label
_atom_site_fract_x
_atom_site_fract_y
_atom_site_fract_z
O1 0.2964 0.8787 0.6062
O2 0.6266 0.7660 0.9059
O3 0.7036 0.1213 0.3938
O4 0.0516 0.9484 0.2500
O5 0.1213 0.7036 0.8938
O6 0.2340 0.3734 0.5941
Ti1 0.0000 0.0000 0.0000
Hg1 0.6777 0.3223 0.7500
O7 0.7660 0.6266 0.4059
Ti2 0.0000 0.0000 0.5000
As1 0.3165 0.6835 0.7500
O8 0.8787 0.2964 0.1062
O9 0.3734 0.2340 0.0941
As2 0.6835 0.3165 0.2500
Hg2 0.3223 0.6777 0.2500
O10 0.9484 0.0516 0.7500



# 4
# BeGaCoP2, relaxed, DFT PBE-GGA
# Total energy (eV per cell): -20.6
# Energy of formation from the pure elements (kJ/mol of atoms): 79.0
# Calculated volume (A^3/atom): 15.38
# ρ (g cm⁻³): 4.3
data_BeGaCoP2
_cell_length_a 4.1369
_cell_length_b 4.4946
_cell_length_c 4.1369
_cell_angle_alpha 90.00
_cell_angle_beta 90.00
_cell_angle_gamma 90.00
_space_group_name_H-M_alt 'P 1'
_space_group_IT_number 1
loop_
_space_group_symop_operation_xyz
'x,y,z'
loop_
_atom_site_label
_atom_site_fract_x
_atom_site_fract_y
_atom_site_fract_z
P1 0.5000 0.0000 0.0000
Co1 0.5000 0.5000 0.5000
Ga1 0.0000 0.5000 0.0000
P2 0.0000 0.0000 0.5000
Be1 0.0000 0.0000 0.0000



# 5
# PuBAsRh3, relaxed, DFT PBE-GGA
# Total energy (eV per cell): -101.6
# Energy of formation from the pure elements (kJ/mol of atoms): -49.7
# Calculated volume (A^3/atom): 16.64
# ρ (g cm⁻³): 10.6
data_PuBAsRh3
_cell_length_a 5.7711
_cell_length_b 5.7163
_cell_length_c 6.6925
_cell_angle_alpha 115.28
_cell_angle_beta 90.00
_cell_angle_gamma 90.00
_space_group_name_H-M_alt 'P 1'
_space_group_IT_number 1
loop_
_space_group_symop_operation_xyz
'x,y,z'
loop_
_atom_site_label
_atom_site_fract_x
_atom_site_fract_y
_atom_site_fract_z
Rh1 0.2500 0.1813 0.3626
As1 0.2500 0.3761 0.7523
Rh2 0.7500 0.8187 0.6374
Pu1 0.2500 0.7485 0.4970
Rh3 0.0000 0.7466 0.0000
Pu2 0.7500 0.2515 0.5030
B1 0.7500 0.9918 0.9835
B2 0.2500 0.0082 0.0165
Rh4 0.0000 0.2534 0.0000
Rh5 0.5000 0.2534 0.0000
As2 0.7500 0.6239 0.2477
Rh6 0.5000 0.7466 0.0000



# 6
# Cu2Sb3S4, relaxed, DFT PBE-GGA
# Total energy (eV per cell): -75.9
# Calculated volume (A^3/atom): 24.27
# ρ (g cm⁻³): 4.7
data_Cu2Sb3S4
_cell_length_a 7.3504
_cell_length_b 8.0288
_cell_length_c 8.0288
_cell_angle_alpha 67.26
_cell_angle_beta 89.17
_cell_angle_gamma 89.17
_space_group_name_H-M_alt 'P 1'
_space_group_IT_number 1
loop_
_space_group_symop_operation_xyz
'x,y,z'
loop_
_atom_site_label
_atom_site_fract_x
_atom_site_fract_y
_atom_site_fract_z
S1 0.3801 0.6187 0.7932
Sb1 0.2500 0.7164 0.2836
S2 0.1199 0.2068 0.3813
Cu1 0.0683 0.5972 0.8437
S3 0.5194 0.9309 0.2895
Cu2 0.4317 0.1563 0.4028
Sb2 0.7500 0.2836 0.7164
Sb3 0.5360 0.7319 0.0075
Sb4 0.9640 0.9925 0.2681
S4 0.8801 0.7932 0.6187
S5 0.4806 0.0691 0.7105
S6 0.9806 0.7105 0.0691
Cu3 0.5683 0.8437 0.5972
S7 0.6199 0.3813 0.2068
Cu4 0.9317 0.4028 0.1563
S8 0.0194 0.2895 0.9309
Sb5 0.0360 0.0075 0.7319
Sb6 0.4640 0.2681 0.9925